Computed, not measured: KLiIn2 at its PBEsol-relaxed geometry at the meta-GGA SCAN level of DFT.

```
4
Lattice="-0.449 2.175 2.637 -3.308 -1.150 0.386 2.717 -6.000 5.413" Properties=species:S:1:pos:R:3 pbc="T T T"
In 0.862 -1.903 1.716
In 1.855 -4.097 3.696
K -1.878 0.513 1.511
Li -0.520 -2.487 4.217
```

Computed properties:
Formation enthalpy at 0 K ... -235 meV/atom
Space group ... Pmmm, No. 47
DOS(E_F) ... 0.457 states/eV/atom
Total magnetic moment ... 0.00 Bohr magnetons per cell
Calculated volume ... 103.54 Å³ per cell